[1]
The following is a DFT calculation (meta-GGA SCAN) of ZrScF2 at its PBEsol-relaxed geometry.

## Properties
DOS(E_F)	2.62	states/eV per cell
E_form (uncorrected)	-2116.4	meV per atom
size of the total moment	0.00	μB per atom

Cell lengths 7.767, 7.767, 7.767 Å; angles 21.97, 21.97, 21.97 degrees
Sites, in units of the cell vectors:
Zr 0.000 0.000 0.000
Sc 0.500 0.500 0.500
F 0.102 0.102 0.102
F 0.898 0.898 0.898


[2]
The following is a DFT calculation (meta-GGA SCAN) of K2PrAgCl6 at its PBEsol-relaxed geometry.

## Properties
DOS(E_F)	0.00	states/eV per cell
E_form (uncorrected)	-1949.5	meV per atom
size of the total moment	0.00	μB per atom

Cell lengths 7.558, 7.558, 7.558 Å; angles 60.00, 60.00, 60.00 degrees
Sites, in units of the cell vectors:
K 0.250 0.250 0.250
K 0.750 0.750 0.750
Pr 0.000 0.000 0.000
Ag 0.500 0.500 0.500
Cl 0.253 0.253 0.747
Cl 0.253 0.747 0.253
Cl 0.253 0.747 0.747
Cl 0.747 0.253 0.253
Cl 0.747 0.253 0.747
Cl 0.747 0.747 0.253


[3]
The following is a DFT calculation (meta-GGA SCAN) of GaNiTe2I at its PBEsol-relaxed geometry.

## Properties
DOS(E_F)	5.93	states/eV per cell
E_form (uncorrected)	902.7	meV per atom
size of the total moment	0.35	μB per atom

Cell lengths 5.290, 5.290, 5.351 Å; angles 90.00, 90.00, 90.00 degrees
Sites, in units of the cell vectors:
Ga 0.000 0.000 0.000
Ni 0.500 0.500 0.500
Te 0.000 0.500 0.000
Te 0.500 0.000 0.000
I 0.000 0.000 0.500


[4]
The following is a DFT calculation (meta-GGA SCAN) of YSc2Se at its PBEsol-relaxed geometry.

## Properties
DOS(E_F)	4.19	states/eV per cell
E_form (uncorrected)	-739.8	meV per atom
size of the total moment	0.17	μB per atom

Cell lengths 3.507, 3.507, 7.332 Å; angles 90.00, 90.00, 90.00 degrees
Sites, in units of the cell vectors:
Y 0.000 0.000 0.000
Sc 0.000 0.000 0.559
Sc 0.500 0.500 0.306
Se 0.500 0.500 0.730


[5]
The following is a DFT calculation (meta-GGA SCAN) of HoPPd at its PBEsol-relaxed geometry.

## Properties
DOS(E_F)	0.22	states/eV per cell
size of the total moment	0.00	μB per atom
calculated formation energy	-4.18	eV per formula unit

Cell lengths 6.774, 3.954, 7.629 Å; angles 90.00, 90.00, 90.00 degrees
Sites, in units of the cell vectors:
Ho 0.028 0.250 0.186
Ho 0.472 0.750 0.686
Ho 0.528 0.250 0.314
Ho 0.972 0.750 0.814
P 0.246 0.750 0.377
P 0.254 0.250 0.877
P 0.746 0.750 0.123
P 0.754 0.250 0.623
Pd 0.146 0.250 0.561
Pd 0.354 0.750 0.061
Pd 0.646 0.250 0.939
Pd 0.854 0.750 0.439


[6]
The following is a DFT calculation (meta-GGA SCAN) of ScSb2 at its PBEsol-relaxed geometry.

## Properties
DOS(E_F)	4.30	states/eV per cell
E_form (uncorrected)	-559.2	meV per atom
size of the total moment	0.00	μB per atom

Cell lengths 5.718, 5.718, 5.718 Å; angles 107.65, 107.65, 113.17 degrees
Sites, in units of the cell vectors:
Sc 0.250 0.250 0.000
Sc 0.750 0.750 0.000
Sb 0.149 0.649 0.798
Sb 0.351 0.149 0.500
Sb 0.649 0.851 0.500
Sb 0.851 0.351 0.202


These records have E values of -60.5 -158.7 -139.3 -79.4 -385.3 -180.9 eV/cell, in the order they appear.